Record 1
Compound: MgAsSe2Br
Source: the Alexandria database
Functional: PBE
Structure: optimized geometry

Cell and atoms, written as CIF:
```
data_MgAsSe2Br
_chemical_formula_sum 'Mg1 As1 Se2 Br1'
_symmetry_space_group_name_H-M 'P 1'
_symmetry_Int_Tables_number 1
_symmetry_space_group_name_Hall 'P 1'
_cell_length_a 5.140
_cell_length_b 5.140
_cell_length_c 5.118
_cell_angle_alpha 90.00
_cell_angle_beta 90.00
_cell_angle_gamma 90.00
loop_
_atom_site_label
_atom_site_type_symbol
_atom_site_fract_x
_atom_site_fract_y
_atom_site_fract_z
Mg1 Mg 0.000 0.000 0.000
As1 As 0.500 0.500 0.500
Se1 Se 0.000 0.500 0.500
Se2 Se 0.500 0.000 0.500
Br1 Br 0.500 0.500 0.000
```

Values from the calculation:
Final energy: -2.941 eV per atom
Energy relative to the lowest polymorph listed for this composition: 0 meV/atom
Magnetization: 0.00 μB/f.u.

=====

Record 2
Compound: K5Rb4Na3
Source: the Alexandria database
Functional: PBE
Structure: optimized geometry

Cell and atoms, written as CIF:
```
data_K5Rb4Na3
_chemical_formula_sum 'K5 Rb4 Na3'
_symmetry_space_group_name_H-M 'P 1'
_symmetry_Int_Tables_number 1
_symmetry_space_group_name_Hall 'P 1'
_cell_length_a 8.949
_cell_length_b 8.949
_cell_length_c 14.097
_cell_angle_alpha 101.86
_cell_angle_beta 101.86
_cell_angle_gamma 51.13
loop_
_atom_site_label
_atom_site_type_symbol
_atom_site_fract_x
_atom_site_fract_y
_atom_site_fract_z
K1 K 0.000 0.000 0.000
K2 K 0.150 0.150 0.531
K3 K 0.256 0.256 0.916
K4 K 0.744 0.744 0.084
K5 K 0.850 0.850 0.469
Rb1 Rb 0.262 0.262 0.260
Rb2 Rb 0.441 0.441 0.677
Rb3 Rb 0.559 0.559 0.323
Rb4 Rb 0.738 0.738 0.740
Na1 Na 0.026 0.026 0.737
Na2 Na 0.500 0.500 0.000
Na3 Na 0.974 0.974 0.263
```

Values from the calculation:
ΔH_f (0 K): 0.054 eV per atom
Final energy: -1.056 eV per atom
Energy relative to the lowest polymorph listed for this composition: 3 meV/atom
Magnetization: 0.00 μB/f.u.

=====

Record 3
Compound: LiTiPd2
Source: the Alexandria database
Functional: PBE
Structure: optimized geometry

Cell and atoms, written as CIF:
```
data_LiTiPd2
_chemical_formula_sum 'Li1 Ti1 Pd2'
_symmetry_space_group_name_H-M 'P 1'
_symmetry_Int_Tables_number 1
_symmetry_space_group_name_Hall 'P 1'
_cell_length_a 8.668
_cell_length_b 8.668
_cell_length_c 8.668
_cell_angle_alpha 19.11
_cell_angle_beta 19.11
_cell_angle_gamma 19.11
loop_
_atom_site_label
_atom_site_type_symbol
_atom_site_fract_x
_atom_site_fract_y
_atom_site_fract_z
Li1 Li 0.000 0.000 0.000
Ti1 Ti 0.167 0.167 0.167
Pd1 Pd 0.583 0.583 0.583
Pd2 Pd 0.750 0.750 0.750
```

Values from the calculation:
ΔH_f (0 K): -0.411 eV per atom
Final energy: -5.460 eV per atom
Magnetization: 0.00 μB/f.u.

=====

Record 4
Compound: BeRe2W
Source: the Alexandria database
Functional: PBE
Structure: optimized geometry

Cell and atoms, written as CIF:
```
data_BeRe2W
_chemical_formula_sum 'Be1 Re2 W1'
_symmetry_space_group_name_H-M 'P 1'
_symmetry_Int_Tables_number 1
_symmetry_space_group_name_Hall 'P 1'
_cell_length_a 2.756
_cell_length_b 3.932
_cell_length_c 5.227
_cell_angle_alpha 90.00
_cell_angle_beta 90.00
_cell_angle_gamma 90.00
loop_
_atom_site_label
_atom_site_type_symbol
_atom_site_fract_x
_atom_site_fract_y
_atom_site_fract_z
Be1 Be 0.000 0.000 0.000
Re1 Re 0.000 0.000 0.491
Re2 Re 0.500 0.500 0.240
W1 W 0.500 0.500 0.760
```

Values from the calculation:
ΔH_f (0 K): 0.162 eV per atom
Final energy: -10.232 eV per atom
Magnetization: 0.00 μB/f.u.

=====

Record 5
Compound: CoRe2Ru
Source: the Alexandria database
Functional: PBE
Structure: optimized geometry

Cell and atoms, written as CIF:
```
data_CoRe2Ru
_chemical_formula_sum 'Co1 Re2 Ru1'
_symmetry_space_group_name_H-M 'P 1'
_symmetry_Int_Tables_number 1
_symmetry_space_group_name_Hall 'P 1'
_cell_length_a 2.704
_cell_length_b 4.286
_cell_length_c 4.687
_cell_angle_alpha 90.00
_cell_angle_beta 90.00
_cell_angle_gamma 90.00
loop_
_atom_site_label
_atom_site_type_symbol
_atom_site_fract_x
_atom_site_fract_y
_atom_site_fract_z
Co1 Co 0.000 0.000 0.000
Re1 Re 0.500 0.000 0.512
Re2 Re 0.500 0.500 0.851
Ru1 Ru 0.000 0.500 0.336
```

Values from the calculation:
ΔH_f (0 K): -0.057 eV per atom
Final energy: -10.377 eV per atom
Energy relative to the lowest polymorph listed for this composition: 0 meV/atom
Magnetization: 0.00 μB/f.u.

=====

Record 6
Compound: BeInAs2W
Source: the Alexandria database
Functional: PBE
Structure: optimized geometry

Cell and atoms, written as CIF:
```
data_BeInAs2W
_chemical_formula_sum 'Be1 In1 As2 W1'
_symmetry_space_group_name_H-M 'P 1'
_symmetry_Int_Tables_number 1
_symmetry_space_group_name_Hall 'P 1'
_cell_length_a 4.418
_cell_length_b 4.418
_cell_length_c 4.668
_cell_angle_alpha 90.00
_cell_angle_beta 90.00
_cell_angle_gamma 90.00
loop_
_atom_site_label
_atom_site_type_symbol
_atom_site_fract_x
_atom_site_fract_y
_atom_site_fract_z
Be1 Be 0.000 0.000 0.000
In1 In 0.500 0.500 0.500
As1 As 0.000 0.500 0.000
As2 As 0.500 0.000 0.000
W1 W 0.000 0.000 0.500
```

Values from the calculation:
ΔH_f (0 K): 0.882 eV per atom
Final energy: -4.861 eV per atom
Magnetization: 1.25 μB/f.u.

=====

Record 7
Compound: Ba8Hg3AuI4
Source: the Alexandria database
Functional: PBE
Structure: optimized geometry

Cell and atoms, written as CIF:
```
data_Ba8Hg3AuI4
_chemical_formula_sum 'Ba8 Hg3 Au1 I4'
_symmetry_space_group_name_H-M 'P 1'
_symmetry_Int_Tables_number 1
_symmetry_space_group_name_Hall 'P 1'
_cell_length_a 10.586
_cell_length_b 10.586
_cell_length_c 10.586
_cell_angle_alpha 54.13
_cell_angle_beta 54.13
_cell_angle_gamma 54.13
loop_
_atom_site_label
_atom_site_type_symbol
_atom_site_fract_x
_atom_site_fract_y
_atom_site_fract_z
Ba1 Ba 0.242 0.242 0.242
Ba2 Ba 0.246 0.736 0.736
Ba3 Ba 0.264 0.264 0.754
Ba4 Ba 0.264 0.754 0.264
Ba5 Ba 0.736 0.246 0.736
Ba6 Ba 0.736 0.736 0.246
Ba7 Ba 0.754 0.264 0.264
Ba8 Ba 0.758 0.758 0.758
Hg1 Hg 0.000 0.000 0.500
Hg2 Hg 0.000 0.500 0.000
Hg3 Hg 0.500 0.000 0.000
Au1 Au 0.500 0.500 0.500
I1 I 0.000 0.000 0.000
I2 I 0.000 0.500 0.500
I3 I 0.500 0.000 0.500
I4 I 0.500 0.500 0.000
```

Values from the calculation:
Final energy: -2.552 eV per atom
Magnetization: 1.09 μB/f.u.

=====

Record 8
Compound: VSi2B2
Source: the Alexandria database
Functional: PBE
Structure: optimized geometry

Cell and atoms, written as CIF:
```
data_VSi2B2
_chemical_formula_sum 'V1 Si2 B2'
_symmetry_space_group_name_H-M 'P 1'
_symmetry_Int_Tables_number 1
_symmetry_space_group_name_Hall 'P 1'
_cell_length_a 7.448
_cell_length_b 7.448
_cell_length_c 7.448
_cell_angle_alpha 159.27
_cell_angle_beta 159.27
_cell_angle_gamma 29.49
loop_
_atom_site_label
_atom_site_type_symbol
_atom_site_fract_x
_atom_site_fract_y
_atom_site_fract_z
V1 V 0.000 0.000 0.000
Si1 Si 0.370 0.370 0.000
Si2 Si 0.630 0.630 0.000
B1 B 0.250 0.750 0.500
B2 B 0.750 0.250 0.500
```

Values from the calculation:
Final energy: -6.274 eV per atom
Energy relative to the lowest polymorph listed for this composition: 0 meV/atom
Magnetization: 0.00 μB/f.u.

=====

Record 9
Compound: CsSe2S
Source: the Alexandria database
Functional: PBE
Structure: optimized geometry

Cell and atoms, written as CIF:
```
data_CsSe2S
_chemical_formula_sum 'Cs1 Se2 S1'
_symmetry_space_group_name_H-M 'P 1'
_symmetry_Int_Tables_number 1
_symmetry_space_group_name_Hall 'P 1'
_cell_length_a 6.930
_cell_length_b 6.930
_cell_length_c 6.930
_cell_angle_alpha 52.44
_cell_angle_beta 52.44
_cell_angle_gamma 52.44
loop_
_atom_site_label
_atom_site_type_symbol
_atom_site_fract_x
_atom_site_fract_y
_atom_site_fract_z
Cs1 Cs 0.000 0.000 0.000
Se1 Se 0.372 0.372 0.372
Se2 Se 0.628 0.628 0.628
S1 S 0.500 0.500 0.500
```

Values from the calculation:
Final energy: -3.023 eV per atom
Magnetization: 0.41 μB/f.u.

=====

Record 10
Compound: Ca16MgAl12
Source: the Alexandria database
Functional: PBE
Structure: optimized geometry

Cell and atoms, written as CIF:
```
data_Ca16MgAl12
_chemical_formula_sum 'Ca16 Mg1 Al12'
_symmetry_space_group_name_H-M 'P 1'
_symmetry_Int_Tables_number 1
_symmetry_space_group_name_Hall 'P 1'
_cell_length_a 9.912
_cell_length_b 9.912
_cell_length_c 10.140
_cell_angle_alpha 109.19
_cell_angle_beta 109.19
_cell_angle_gamma 107.85
loop_
_atom_site_label
_atom_site_type_symbol
_atom_site_fract_x
_atom_site_fract_y
_atom_site_fract_z
Ca1 Ca 0.000 0.000 0.000
Ca2 Ca 0.018 0.633 0.990
Ca3 Ca 0.043 0.755 0.698
Ca4 Ca 0.061 0.061 0.602
Ca5 Ca 0.331 0.646 0.891
Ca6 Ca 0.337 0.685 0.290
Ca7 Ca 0.341 0.341 0.292
Ca8 Ca 0.348 0.930 0.613
Ca9 Ca 0.352 0.352 0.624
Ca10 Ca 0.633 0.018 0.990
Ca11 Ca 0.646 0.331 0.891
Ca12 Ca 0.672 0.919 0.288
Ca13 Ca 0.685 0.337 0.290
Ca14 Ca 0.755 0.043 0.698
Ca15 Ca 0.919 0.672 0.288
Ca16 Ca 0.930 0.348 0.613
Mg1 Mg 0.690 0.690 0.954
Al1 Al 0.153 0.337 0.948
Al2 Al 0.159 0.534 0.478
Al3 Al 0.194 0.998 0.324
Al4 Al 0.337 0.153 0.948
Al5 Al 0.348 0.980 0.132
Al6 Al 0.497 0.497 0.099
Al7 Al 0.521 0.699 0.646
Al8 Al 0.534 0.159 0.478
Al9 Al 0.687 0.687 0.461
Al10 Al 0.699 0.521 0.646
Al11 Al 0.980 0.348 0.132
Al12 Al 0.998 0.194 0.324
```

Values from the calculation:
ΔH_f (0 K): -0.126 eV per atom
Final energy: -2.834 eV per atom
Magnetization: 0.00 μB/f.u.

=====

Record 11
Compound: Al2GaPd
Source: the Alexandria database
Functional: PBE
Structure: optimized geometry

Cell and atoms, written as CIF:
```
data_Al2GaPd
_chemical_formula_sum 'Al2 Ga1 Pd1'
_symmetry_space_group_name_H-M 'P 1'
_symmetry_Int_Tables_number 1
_symmetry_space_group_name_Hall 'P 1'
_cell_length_a 3.095
_cell_length_b 3.095
_cell_length_c 6.730
_cell_angle_alpha 90.00
_cell_angle_beta 90.00
_cell_angle_gamma 90.00
loop_
_atom_site_label
_atom_site_type_symbol
_atom_site_fract_x
_atom_site_fract_y
_atom_site_fract_z
Al1 Al 0.000 0.000 0.228
Al2 Al 0.000 0.000 0.772
Ga1 Ga 0.500 0.500 0.500
Pd1 Pd 0.500 0.500 0.000
```

Values from the calculation:
ΔH_f (0 K): -0.327 eV per atom
Final energy: -4.253 eV per atom
Magnetization: 0.00 μB/f.u.

=====

Record 12
Compound: NiTePd2
Source: the Alexandria database
Functional: PBE
Structure: optimized geometry

Cell and atoms, written as CIF:
```
data_NiTePd2
_chemical_formula_sum 'Ni2 Te2 Pd4'
_symmetry_space_group_name_H-M 'P 1'
_symmetry_Int_Tables_number 1
_symmetry_space_group_name_Hall 'P 1'
_cell_length_a 9.703
_cell_length_b 9.703
_cell_length_c 9.703
_cell_angle_alpha 157.19
_cell_angle_beta 157.19
_cell_angle_gamma 32.49
loop_
_atom_site_label
_atom_site_type_symbol
_atom_site_fract_x
_atom_site_fract_y
_atom_site_fract_z
Ni1 Ni 0.000 0.000 0.000
Ni2 Ni 0.750 0.250 0.500
Te1 Te 0.250 0.750 0.500
Te2 Te 0.500 0.500 0.000
Pd1 Pd 0.119 0.625 0.994
Pd2 Pd 0.375 0.369 0.494
Pd3 Pd 0.631 0.125 0.006
Pd4 Pd 0.875 0.881 0.506
```

Values from the calculation:
Final energy: -4.837 eV per atom
Magnetization: 0.00 μB/f.u.

=====

Copy entry 8 word for word.
Compound: VSi2B2
Source: the Alexandria database
Functional: PBE
Structure: optimized geometry

Cell and atoms, written as CIF:
```
data_VSi2B2
_chemical_formula_sum 'V1 Si2 B2'
_symmetry_space_group_name_H-M 'P 1'
_symmetry_Int_Tables_number 1
_symmetry_space_group_name_Hall 'P 1'
_cell_length_a 7.448
_cell_length_b 7.448
_cell_length_c 7.448
_cell_angle_alpha 159.27
_cell_angle_beta 159.27
_cell_angle_gamma 29.49
loop_
_atom_site_label
_atom_site_type_symbol
_atom_site_fract_x
_atom_site_fract_y
_atom_site_fract_z
V1 V 0.000 0.000 0.000
Si1 Si 0.370 0.370 0.000
Si2 Si 0.630 0.630 0.000
B1 B 0.250 0.750 0.500
B2 B 0.750 0.250 0.500
```

Values from the calculation:
Final energy: -6.274 eV per atom
Energy relative to the lowest polymorph listed for this composition: 0 meV/atom
Magnetization: 0.00 μB/f.u.

=====

- Look up the final energy of the second one.
  -1.056 eV per atom

=====

Repeat the eleventh record exactly.
Compound: Al2GaPd
Source: the Alexandria database
Functional: PBE
Structure: optimized geometry

Cell and atoms, written as CIF:
```
data_Al2GaPd
_chemical_formula_sum 'Al2 Ga1 Pd1'
_symmetry_space_group_name_H-M 'P 1'
_symmetry_Int_Tables_number 1
_symmetry_space_group_name_Hall 'P 1'
_cell_length_a 3.095
_cell_length_b 3.095
_cell_length_c 6.730
_cell_angle_alpha 90.00
_cell_angle_beta 90.00
_cell_angle_gamma 90.00
loop_
_atom_site_label
_atom_site_type_symbol
_atom_site_fract_x
_atom_site_fract_y
_atom_site_fract_z
Al1 Al 0.000 0.000 0.228
Al2 Al 0.000 0.000 0.772
Ga1 Ga 0.500 0.500 0.500
Pd1 Pd 0.500 0.500 0.000
```

Values from the calculation:
ΔH_f (0 K): -0.327 eV per atom
Final energy: -4.253 eV per atom
Magnetization: 0.00 μB/f.u.

=====

- Which of these has the highest final energy?
  K5Rb4Na3